Ba2Ni9B6: PBEsol geometry, meta-GGA SCAN.

Cell lengths 7.4579, 7.4579, 7.4579 Å; angles 83.28, 83.28, 83.28 degrees
Fractional coordinates of all 34 atoms:
1 Ba 0.1219 0.1219 0.1219
2 Ba 0.3781 0.3781 0.3781
3 Ba 0.6219 0.6219 0.6219
4 Ba 0.8781 0.8781 0.8781
5 Ni 0.0645 0.6081 0.5792
6 Ni 0.0792 0.1081 0.5645
7 Ni 0.1081 0.5645 0.0792
8 Ni 0.2133 0.7500 0.2867
9 Ni 0.2500 0.7133 0.7867
10 Ni 0.2867 0.2133 0.7500
11 Ni 0.3919 0.4208 0.9355
12 Ni 0.4208 0.9355 0.3919
13 Ni 0.4355 0.9208 0.8919
14 Ni 0.5645 0.0792 0.1081
15 Ni 0.5792 0.0645 0.6081
16 Ni 0.6081 0.5792 0.0645
17 Ni 0.7133 0.7867 0.2500
18 Ni 0.7500 0.2867 0.2133
19 Ni 0.7867 0.2500 0.7133
20 Ni 0.8919 0.4355 0.9208
21 Ni 0.9208 0.8919 0.4355
22 Ni 0.9355 0.3919 0.4208
23 B 0.0365 0.3449 0.6864
24 B 0.1551 0.4635 0.8136
25 B 0.1864 0.8449 0.5365
26 B 0.3136 0.9635 0.6551
27 B 0.3449 0.6864 0.0365
28 B 0.4635 0.8136 0.1551
29 B 0.5365 0.1864 0.8449
30 B 0.6551 0.3136 0.9635
31 B 0.6864 0.0365 0.3449
32 B 0.8136 0.1551 0.4635
33 B 0.8449 0.5365 0.1864
34 B 0.9635 0.6551 0.3136

For the volume, the calculation gives 11.967 A^3/atom. Its crystal system is trigonal. The calculation puts the total energy at -548.5 eV per cell.

***

BaNiB2: PBEsol geometry, meta-GGA SCAN.

Cell lengths 4.4338, 4.4338, 4.4338 Å; angles 60.00, 60.00, 60.00 degrees
Fractional coordinates of all 4 atoms:
1 Ba 0.0000 0.0000 0.0000
2 Ni 0.5000 0.5000 0.5000
3 B 0.2500 0.2500 0.2500
4 B 0.7500 0.7500 0.7500

For the volume, the calculation gives 15.408 A^3/atom. Its crystal system is cubic. The calculation puts the total energy at -64.4 eV per cell.

***

BaNi12B6: PBEsol geometry, meta-GGA SCAN.

Cell lengths 6.0441, 6.0441, 6.0441 Å; angles 104.67, 104.67, 104.67 degrees
Fractional coordinates of all 19 atoms:
1 Ba 0.0000 0.0000 0.0000
2 Ni 0.1328 0.5000 0.8672
3 Ni 0.1328 0.8672 0.5000
4 Ni 0.1870 0.4632 0.4632
5 Ni 0.4632 0.1870 0.4632
6 Ni 0.4632 0.4632 0.1870
7 Ni 0.5000 0.1328 0.8672
8 Ni 0.5000 0.8672 0.1328
9 Ni 0.5368 0.5368 0.8130
10 Ni 0.5368 0.8130 0.5368
11 Ni 0.8130 0.5368 0.5368
12 Ni 0.8672 0.1328 0.5000
13 Ni 0.8672 0.5000 0.1328
14 B 0.2327 0.2327 0.6531
15 B 0.2327 0.6531 0.2327
16 B 0.3469 0.7673 0.7673
17 B 0.6531 0.2327 0.2327
18 B 0.7673 0.3469 0.7673
19 B 0.7673 0.7673 0.3469

For the volume, the calculation gives 10.231 A^3/atom. Its crystal system is trigonal. The calculation puts the total energy at -284.1 eV per cell.

***

Ba2TcNiB: PBEsol geometry, meta-GGA SCAN.

Cell lengths 5.6638, 5.6638, 4.0008 Å; angles 90.00, 90.00, 90.00 degrees
Fractional coordinates of all 5 atoms:
1 Ba 0.0000 0.5000 0.0000
2 Ba 0.5000 0.0000 0.0000
3 Tc 0.0000 0.0000 0.0000
4 Ni 0.5000 0.5000 0.5000
5 B 0.0000 0.0000 0.5000

For the volume, the calculation gives 25.668 A^3/atom. Its crystal system is tetragonal. The calculation puts the total energy at -133.7 eV per cell.

***

Ba3B2O6: PBEsol geometry, meta-GGA SCAN.

Cell lengths 5.1684, 7.0541, 10.2569 Å; angles 90.00, 90.00, 90.00 degrees
Fractional coordinates of all 22 atoms:
1 Ba 0.0000 0.0000 0.0000
2 Ba 0.0000 0.5000 0.1888
3 Ba 0.0000 0.5000 0.8112
4 Ba 0.5000 0.0000 0.3112
5 Ba 0.5000 0.0000 0.6888
6 Ba 0.5000 0.5000 0.5000
7 B 0.0256 0.2334 0.5000
8 B 0.4744 0.7334 0.0000
9 B 0.5256 0.2666 0.0000
10 B 0.9744 0.7666 0.5000
11 O 0.1556 0.2674 0.3823
12 O 0.1556 0.2674 0.6177
13 O 0.2340 0.8162 0.5000
14 O 0.2660 0.3162 0.0000
15 O 0.3444 0.7674 0.1177
16 O 0.3444 0.7674 0.8823
17 O 0.6556 0.2326 0.1177
18 O 0.6556 0.2326 0.8823
19 O 0.7340 0.6838 0.0000
20 O 0.7660 0.1838 0.5000
21 O 0.8444 0.7326 0.3823
22 O 0.8444 0.7326 0.6177

For the volume, the calculation gives 16.998 A^3/atom. Its crystal system is orthorhombic. The calculation puts the total energy at -406.6 eV per cell.

***

BaB4O7: PBEsol geometry, meta-GGA SCAN.

Cell lengths 10.5741, 8.3044, 12.9992 Å; angles 90.00, 104.55, 90.00 degrees
Fractional coordinates of all 96 atoms:
1 Ba 0.0422 0.2350 0.3950
2 Ba 0.0422 0.2650 0.8950
3 Ba 0.3923 0.6140 0.2955
4 Ba 0.3923 0.8860 0.7955
5 Ba 0.6077 0.1140 0.2045
6 Ba 0.6077 0.3860 0.7045
7 Ba 0.9578 0.7350 0.1050
8 Ba 0.9578 0.7650 0.6050
9 B 0.1016 0.6769 0.8918
10 B 0.1016 0.8231 0.3918
11 B 0.1335 0.1329 0.6886
12 B 0.1335 0.3671 0.1886
13 B 0.2109 0.5880 0.0735
14 B 0.2109 0.9120 0.5735
15 B 0.2236 0.1219 0.1179
16 B 0.2236 0.3781 0.6179
17 B 0.2520 0.6324 0.5141
18 B 0.2520 0.8676 0.0141
19 B 0.3196 0.1951 0.3059
20 B 0.3196 0.3049 0.8059
21 B 0.3623 0.0889 0.4938
22 B 0.3623 0.4111 0.9938
23 B 0.4877 0.7169 0.5504
24 B 0.4877 0.7831 0.0504
25 B 0.5123 0.2169 0.9496
26 B 0.5123 0.2831 0.4496
27 B 0.6377 0.5889 0.0062
28 B 0.6377 0.9111 0.5062
29 B 0.6804 0.6951 0.1941
30 B 0.6804 0.8049 0.6941
31 B 0.7480 0.1324 0.9859
32 B 0.7480 0.3676 0.4859
33 B 0.7764 0.6219 0.3821
34 B 0.7764 0.8781 0.8821
35 B 0.7891 0.0880 0.4265
36 B 0.7891 0.4120 0.9265
37 B 0.8665 0.6329 0.8114
38 B 0.8665 0.8671 0.3114
39 B 0.8984 0.1769 0.6082
40 B 0.8984 0.3231 0.1082
41 O 0.0057 0.6459 0.7994
42 O 0.0057 0.8541 0.2994
43 O 0.1106 0.5684 0.9735
44 O 0.1106 0.9316 0.4735
45 O 0.1412 0.2471 0.6047
46 O 0.1412 0.2529 0.1047
47 O 0.1615 0.5311 0.1625
48 O 0.1615 0.9689 0.6625
49 O 0.1813 0.6904 0.4049
50 O 0.1813 0.8096 0.9049
51 O 0.1976 0.0248 0.0300
52 O 0.1976 0.4752 0.5300
53 O 0.2230 0.1773 0.7893
54 O 0.2230 0.3227 0.2893
55 O 0.2382 0.7424 0.5971
56 O 0.2382 0.7576 0.0971
57 O 0.2947 0.0863 0.3894
58 O 0.2947 0.4137 0.8894
59 O 0.3207 0.1006 0.2098
60 O 0.3207 0.3994 0.7098
61 O 0.3333 0.0003 0.5726
62 O 0.3333 0.4997 0.0726
63 O 0.3906 0.6087 0.5112
64 O 0.3906 0.8913 0.0112
65 O 0.4524 0.2275 0.8433
66 O 0.4524 0.2725 0.3433
67 O 0.4694 0.1940 0.5254
68 O 0.4694 0.3060 0.0254
69 O 0.5306 0.6940 0.9746
70 O 0.5306 0.8060 0.4746
71 O 0.5476 0.7275 0.6567
72 O 0.5476 0.7725 0.1567
73 O 0.6094 0.1087 0.9888
74 O 0.6094 0.3913 0.4888
75 O 0.6667 0.9997 0.4274
76 O 0.6667 0.5003 0.9274
77 O 0.6793 0.6006 0.2902
78 O 0.6793 0.8994 0.7902
79 O 0.7053 0.5863 0.1106
80 O 0.7053 0.9137 0.6106
81 O 0.7618 0.2424 0.9029
82 O 0.7618 0.2576 0.4029
83 O 0.7770 0.6773 0.7107
84 O 0.7770 0.8227 0.2107
85 O 0.8024 0.5248 0.4700
86 O 0.8024 0.9752 0.9700
87 O 0.8187 0.1904 0.0951
88 O 0.8187 0.3096 0.5951
89 O 0.8385 0.0311 0.3375
90 O 0.8385 0.4689 0.8375
91 O 0.8588 0.7471 0.8953
92 O 0.8588 0.7529 0.3953
93 O 0.8894 0.0684 0.5265
94 O 0.8894 0.4316 0.0265
95 O 0.9943 0.1459 0.7006
96 O 0.9943 0.3541 0.2006

For the volume, the calculation gives 11.509 A^3/atom. Its crystal system is monoclinic. The calculation puts the total energy at -1175.4 eV per cell.

***

no.,M_tot (μB per formula unit)
1,0.00
2,0.00
3,0.00
4,0.72
5,0.00
6,0.00